No. 1
Computed, not measured: crystalline Ba2CaTe2 at its relaxed geometry at the PBE level of DFT.

Output
formation energy (no corrections)	-1.347	eV/atom

Unit cell a=9.028 b=9.028 c=4.829 alpha=90.00 beta=90.00 gamma=90.00
Space group P4/mbm (No. 127)
Inequivalent atoms, fractional coordinates:
1 Ba 0.153 0.347 0.000 [4 per cell]
2 Ca 0.000 0.000 0.500 [2 per cell]
3 Te 0.156 0.656 0.500 [4 per cell]

---

No. 2
Computed, not measured: crystalline Zn2Ga2Cu at its relaxed geometry at the PBE level of DFT.

Output
E_form	0.2246	eV/atom

Unit cell a=3.693 b=3.693 c=12.526 alpha=90.00 beta=90.00 gamma=90.00
Space group I4/mmm (No. 139)
Inequivalent atoms, fractional coordinates:
1 Zn 0.000 0.000 0.095 [4 per cell]
2 Ga 0.000 0.500 0.250 [4 per cell]
3 Cu 0.000 0.000 0.500 [2 per cell]

---

Calculated electronic total energy (eV/atom), listed in the same order as above: -3.7727; -2.3150
Calculated offset from the most stable computed form (eV per atom), listed in the same order as above: 0.0000; 0.1717
Calculated DOS at the Fermi energy (states/eV/cell), listed in the same order as above: 0.8; 3.8